(1)
Compound: CdGaPdF6
Source: Alexandria
Functional: GGA-PBE
Structure: optimized geometry

Values from the calculation:
The total energy comes out at -4.20 eV per atom. The space group is No. 163. The calculation puts the density of states at the Fermi level at 5.94 states/eV/f.u. The total magnetization is 0.11 μB per atom.

Cell lengths 5.675, 5.675, 9.579 Å; angles 90.00, 90.00, 120.00 degrees
Last column: magnetic moment on the atom in μB.
Fractional positions:
Cd1 0.333 0.667 0.250  0.00
Cd2 0.667 0.333 0.750  0.00
Ga1 0.667 0.333 0.250  0.00
Ga2 0.333 0.667 0.750  0.00
Pd1 0.000 0.000 0.000  0.89
Pd2 0.000 0.000 0.500  0.89
F1 0.657 0.612 0.138  0.01
F2 0.955 0.343 0.138  0.01
F3 0.343 0.955 0.638  0.01
F4 0.045 0.657 0.862  0.01
F5 0.388 0.343 0.362  0.01
F6 0.955 0.612 0.362  0.01
F7 0.612 0.955 0.862  0.01
F8 0.657 0.045 0.362  0.01
F9 0.045 0.388 0.638  0.01
F10 0.388 0.045 0.138  0.01
F11 0.612 0.657 0.638  0.01
F12 0.343 0.388 0.862  0.01

(2)
Compound: Rb2CdGa3F12
Source: Alexandria
Functional: GGA-PBE
Structure: optimized geometry

Values from the calculation:
The total energy comes out at -4.46 eV per atom. The space group is No. 166. The calculation puts the density of states at the Fermi level at 3.12 states/eV/f.u. The total magnetization is 0.00 μB per atom.

Cell lengths 7.460, 7.460, 7.460 Å; angles 60.52, 60.52, 60.52 degrees
Fractional positions:
Rb1 0.622 0.622 0.622
Rb2 0.378 0.378 0.378
Cd1 0.000 0.000 0.000
Ga1 0.500 0.000 0.000
Ga2 0.000 0.500 0.000
Ga3 0.000 0.000 0.500
F1 0.295 0.295 0.910
F2 0.896 0.896 0.396
F3 0.396 0.896 0.896
F4 0.910 0.295 0.295
F5 0.896 0.396 0.896
F6 0.295 0.910 0.295
F7 0.705 0.705 0.090
F8 0.104 0.104 0.604
F9 0.604 0.104 0.104
F10 0.090 0.705 0.705
F11 0.104 0.604 0.104
F12 0.705 0.090 0.705

(3)
Compound: RbCdGa2F8
Source: Alexandria
Functional: GGA-PBE
Structure: optimized geometry

Values from the calculation:
The total energy comes out at -4.29 eV per atom. The space group is No. 148. The calculation puts the density of states at the Fermi level at 2.06 states/eV/f.u. The total magnetization is 0.00 μB per atom.

Cell lengths 5.670, 5.670, 8.430 Å; angles 70.35, 70.35, 60.00 degrees
Fractional positions:
Rb1 0.500 0.500 0.500
Cd1 0.000 0.000 0.000
Ga1 0.254 0.254 0.239
Ga2 0.746 0.746 0.761
F1 0.176 0.176 0.473
F2 0.578 0.289 0.175
F3 0.824 0.824 0.527
F4 0.957 0.578 0.175
F5 0.043 0.422 0.825
F6 0.289 0.957 0.175
F7 0.711 0.043 0.825
F8 0.422 0.711 0.825

(4)
Compound: Cd3GaSe2F6
Source: Alexandria
Functional: GGA-PBE
Structure: optimized geometry

Values from the calculation:
The total energy comes out at -3.69 eV per atom. The space group is No. 12. The calculation puts the density of states at the Fermi level at 4.22 states/eV/f.u. The total magnetization is 0.08 μB per atom.

Cell lengths 5.256, 6.424, 7.027 Å; angles 117.20, 89.58, 90.00 degrees
Last column: magnetic moment on the atom in μB.
Fractional positions:
Cd1 0.000 0.500 0.000  0.01
Cd2 0.500 0.500 0.500  0.03
Cd3 0.500 0.000 0.500  0.03
Ga1 0.500 0.000 0.000  0.00
Se1 0.114 0.704 0.408  0.26
Se2 0.886 0.296 0.592  0.26
F1 0.700 0.286 0.130  0.01
F2 0.300 0.714 0.870  0.01
F3 0.692 0.868 0.737  0.01
F4 0.308 0.132 0.263  0.01
F5 0.300 0.156 0.870  0.01
F6 0.700 0.844 0.130  0.01

(5)
Compound: Cd2GaSnF
Source: Alexandria
Functional: GGA-PBE
Structure: optimized geometry

Values from the calculation:
The total energy comes out at -2.19 eV per atom. The space group is No. 123. The calculation puts the density of states at the Fermi level at 1.54 states/eV/f.u. The total magnetization is 0.00 μB per atom.

Cell lengths 5.587, 5.501, 5.587 Å; angles 90.00, 90.00, 90.00 degrees
Fractional positions:
F1 0.500 0.500 0.500
Sn1 0.000 0.000 0.000
Ga1 0.000 0.500 0.000
Cd1 0.000 0.000 0.500
Cd2 0.500 0.000 0.000

(6)
Compound: TlCdGaF6
Source: Alexandria
Functional: GGA-PBE
Structure: optimized geometry

Values from the calculation:
The total energy comes out at -4.28 eV per atom. The space group is No. 74. The calculation puts the density of states at the Fermi level at 0.00 states/eV/f.u. The total magnetization is 0.00 μB per atom.

Cell lengths 7.539, 7.614, 7.436 Å; angles 120.80, 120.46, 90.00 degrees
Fractional positions:
Tl1 0.858 0.608 0.715
Tl2 0.142 0.392 0.285
Cd1 0.500 0.000 0.500
Cd2 0.000 0.000 0.500
Ga1 0.500 0.500 0.000
Ga2 0.500 0.000 0.000
F1 0.524 0.774 0.047
F2 0.859 0.109 0.718
F3 0.809 0.139 0.262
F4 0.452 0.623 0.262
F5 0.452 0.139 0.262
F6 0.809 0.623 0.262
F7 0.476 0.226 0.953
F8 0.141 0.891 0.282
F9 0.191 0.861 0.738
F10 0.548 0.377 0.738
F11 0.548 0.861 0.738
F12 0.191 0.377 0.738

(7)
Compound: Tl2CdGaF6
Source: Alexandria
Functional: GGA-PBE
Structure: optimized geometry

Values from the calculation:
The total energy comes out at -4.02 eV per atom. The space group is No. 59. The calculation puts the density of states at the Fermi level at 2.89 states/eV/f.u. The total magnetization is 0.10 μB per atom.

Cell lengths 6.281, 6.278, 8.881 Å; angles 90.00, 90.00, 90.00 degrees
Last column: magnetic moment on the atom in μB.
Fractional positions:
Tl1 0.500 0.750 0.250  0.03
Tl2 0.000 0.250 0.750  0.03
Tl3 0.500 0.750 0.750  0.03
Tl4 0.000 0.250 0.250  0.03
Cd1 0.000 0.745 0.500  0.31
Cd2 0.500 0.255 0.000  0.31
Ga1 0.500 0.243 0.500  0.05
Ga2 0.000 0.757 0.000  0.05
F1 0.500 0.241 0.282  0.03
F2 0.500 0.241 0.718  0.03
F3 0.000 0.759 0.218  0.03
F4 0.000 0.759 0.782  0.03
F5 0.281 0.024 0.500  0.03
F6 0.719 0.024 0.500  0.03
F7 0.282 0.462 0.500  0.03
F8 0.718 0.462 0.500  0.03
F9 0.782 0.538 0.000  0.03
F10 0.218 0.538 0.000  0.03
F11 0.219 0.976 0.000  0.03
F12 0.781 0.976 0.000  0.03

(8)
Compound: TlCd2GaF8
Source: Alexandria
Functional: GGA-PBE
Structure: optimized geometry

Values from the calculation:
The total energy comes out at -4.08 eV per atom. The space group is No. 2. The calculation puts the density of states at the Fermi level at 0.00 states/eV/f.u. The total magnetization is 0.00 μB per atom.

Cell lengths 5.104, 5.098, 7.336 Å; angles 89.27, 89.51, 89.12 degrees
Fractional positions:
Tl1 0.000 0.000 0.500
Cd1 0.499 0.499 0.757
Cd2 0.501 0.501 0.243
Ga1 0.000 0.000 0.000
F1 0.168 0.790 0.184
F2 0.707 0.739 0.999
F3 0.824 0.203 0.182
F4 0.832 0.210 0.816
F5 0.293 0.261 0.001
F6 0.176 0.797 0.818
F7 0.590 0.727 0.498
F8 0.410 0.273 0.502